# 1
A plane-wave DFT calculation with PBE-GGA was carried out for a geometry-optimized Ho2Pu3NpSe6 structure.

Cell: 3.7053 9.1905 8.8399 Å, 74.27 102.10 90.00°
Site moments in Bohr magnetons follow the coordinates.
Fractional coordinates of all 12 atoms:
1 Ho 0.6693 0.6651 0.3387  0.01
2 Ho 0.3307 0.3349 0.6613  0.01
3 Pu 0.5000 0.5000 0.0000  5.59
4 Pu 0.3352 0.8320 0.6704  5.56
5 Pu 0.6648 0.1680 0.3296  5.56
6 Np 0.5000 0.0000 0.0000  -4.06
7 Se 0.1579 0.9112 0.3158  -0.02
8 Se 0.8404 0.5714 0.6807  -0.05
9 Se 0.8421 0.0888 0.6842  -0.02
10 Se 0.0051 0.2464 0.0102  -0.02
11 Se 0.9949 0.7536 0.9898  -0.02
12 Se 0.1596 0.4286 0.3193  -0.05

Formation energy from raw total energies, kJ per mole of atoms: -124.9
Symmetry: C2/m, No. 12

# 2
A plane-wave DFT calculation with PBE-GGA was carried out for a geometry-optimized Sm12Ag3Ge5 structure.

Cell: 15.1054 15.1054 15.1054 Å, 109.47 109.47 109.47°
Fractional coordinates of all 80 atoms:
1 Ag 0.7500 0.3750 0.1250
2 Ag 0.8750 0.7500 0.1250
3 Ag 0.3750 0.7500 0.6250
4 Ag 0.2500 0.1250 0.3750
5 Ag 0.8750 0.1250 0.2500
6 Ag 0.3750 0.6250 0.2500
7 Ag 0.6250 0.3750 0.7500
8 Ag 0.1250 0.8750 0.7500
9 Ag 0.7500 0.8750 0.6250
10 Ag 0.6250 0.2500 0.3750
11 Ag 0.1250 0.2500 0.8750
12 Ag 0.2500 0.6250 0.8750
13 Ge 0.1250 0.3750 0.2500
14 Ge 0.0000 0.5000 0.0000
15 Ge 0.0000 0.0000 0.0000
16 Ge 0.3750 0.2500 0.1250
17 Ge 0.5000 0.0000 0.5000
18 Ge 0.5000 0.5000 0.0000
19 Ge 0.1250 0.7500 0.3750
20 Ge 0.7500 0.1250 0.8750
21 Ge 0.7500 0.6250 0.3750
22 Ge 0.3750 0.1250 0.7500
23 Ge 0.6250 0.8750 0.2500
24 Ge 0.5000 0.5000 0.5000
25 Ge 0.5000 0.0000 0.0000
26 Ge 0.0000 0.0000 0.5000
27 Ge 0.2500 0.3750 0.6250
28 Ge 0.2500 0.8750 0.1250
29 Ge 0.0000 0.5000 0.5000
30 Ge 0.8750 0.2500 0.6250
31 Ge 0.6250 0.7500 0.8750
32 Ge 0.8750 0.6250 0.7500
33 Sm 0.7180 0.1248 0.0466
34 Sm 0.3286 0.5466 0.4218
35 Sm 0.9534 0.3752 0.2820
36 Sm 0.5466 0.2180 0.1248
37 Sm 0.5932 0.7180 0.6714
38 Sm 0.9534 0.5782 0.1714
39 Sm 0.3286 0.7820 0.4068
40 Sm 0.0782 0.9068 0.1248
41 Sm 0.5782 0.9534 0.6714
42 Sm 0.7180 0.5932 0.1714
43 Sm 0.7820 0.4534 0.3752
44 Sm 0.8286 0.9218 0.0466
45 Sm 0.1248 0.7180 0.5466
46 Sm 0.3752 0.4218 0.0932
47 Sm 0.0932 0.9218 0.3752
48 Sm 0.4068 0.1248 0.5782
49 Sm 0.0932 0.1714 0.2180
50 Sm 0.4534 0.6714 0.0782
51 Sm 0.8286 0.9068 0.2820
52 Sm 0.1248 0.4068 0.0782
53 Sm 0.3752 0.9534 0.7820
54 Sm 0.5782 0.6248 0.4068
55 Sm 0.9218 0.8286 0.5466
56 Sm 0.7820 0.3286 0.9068
57 Sm 0.4218 0.3752 0.5932
58 Sm 0.0782 0.1714 0.4534
59 Sm 0.2180 0.6714 0.0932
60 Sm 0.1714 0.0932 0.7180
61 Sm 0.6248 0.0466 0.2180
62 Sm 0.8752 0.5932 0.9218
63 Sm 0.5466 0.3286 0.9218
64 Sm 0.5932 0.8752 0.4218
65 Sm 0.9068 0.8286 0.7820
66 Sm 0.9068 0.0782 0.6248
67 Sm 0.8752 0.2820 0.4534
68 Sm 0.1714 0.0782 0.9534
69 Sm 0.6248 0.5782 0.9068
70 Sm 0.4218 0.0466 0.3286
71 Sm 0.2820 0.4068 0.8286
72 Sm 0.2180 0.5466 0.6248
73 Sm 0.9218 0.0932 0.8752
74 Sm 0.6714 0.2180 0.5932
75 Sm 0.4534 0.7820 0.8752
76 Sm 0.0466 0.4218 0.8286
77 Sm 0.4068 0.2820 0.3286
78 Sm 0.0466 0.6248 0.7180
79 Sm 0.6714 0.4534 0.5782
80 Sm 0.2820 0.8752 0.9534

Symmetry: Ia-3d, No. 230
E_form, eV per atom: -0.10

Please write out number 1 again, unchanged.
A plane-wave DFT calculation with PBE-GGA was carried out for a geometry-optimized Ho2Pu3NpSe6 structure.

Cell: 3.7053 9.1905 8.8399 Å, 74.27 102.10 90.00°
Site moments in Bohr magnetons follow the coordinates.
Fractional coordinates of all 12 atoms:
1 Ho 0.6693 0.6651 0.3387  0.01
2 Ho 0.3307 0.3349 0.6613  0.01
3 Pu 0.5000 0.5000 0.0000  5.59
4 Pu 0.3352 0.8320 0.6704  5.56
5 Pu 0.6648 0.1680 0.3296  5.56
6 Np 0.5000 0.0000 0.0000  -4.06
7 Se 0.1579 0.9112 0.3158  -0.02
8 Se 0.8404 0.5714 0.6807  -0.05
9 Se 0.8421 0.0888 0.6842  -0.02
10 Se 0.0051 0.2464 0.0102  -0.02
11 Se 0.9949 0.7536 0.9898  -0.02
12 Se 0.1596 0.4286 0.3193  -0.05

Formation energy from raw total energies, kJ per mole of atoms: -124.9
Symmetry: C2/m, No. 12